This record from Alexandria describes a relaxed structure of La2ScGa4Pd3. The functional is PBE.

a = 4.240 Å, b = 4.240 Å, c = 11.612 Å
α = 90.00°, β = 90.00°, γ = 90.00°
Positions (direct):
La 0.000 0.500 0.235
La 0.500 0.000 0.765
Sc 0.000 0.000 0.500
Ga 0.000 0.000 0.000
Ga 0.000 0.500 0.653
Ga 0.500 0.000 0.347
Ga 0.500 0.500 0.000
Pd 0.000 0.500 0.872
Pd 0.500 0.000 0.128
Pd 0.500 0.500 0.500

Results
Energy of formation from the pure elements ... -0.758 eV per atom
Density ... 7.326 Mg/m³
Total DFT energy (no corrections) ... -5.15 eV/atom
Crystal system ... tetragonal


This record from Alexandria describes a relaxed structure of LaScGa5Pd2. The functional is PBE.

a = 4.911 Å, b = 4.911 Å, c = 7.641 Å
α = 90.00°, β = 90.00°, γ = 90.00°
Positions (direct):
La 0.000 0.000 0.000
Sc 0.000 0.000 0.500
Ga 0.000 0.500 0.292
Ga 0.000 0.500 0.708
Ga 0.500 0.000 0.292
Ga 0.500 0.000 0.708
Ga 0.500 0.500 0.000
Pd 0.500 0.500 0.323
Pd 0.500 0.500 0.677

Results
Energy of formation from the pure elements ... -0.425 eV per atom
Density ... 6.717 Mg/m³
Total DFT energy (no corrections) ... -4.51 eV/atom
Crystal system ... tetragonal


This record from Alexandria describes a relaxed structure of LaScGa2Pd2. The functional is PBE.

a = 4.497 Å, b = 4.497 Å, c = 6.923 Å
α = 90.00°, β = 90.00°, γ = 120.00°
Positions (direct):
La 0.000 0.000 0.000
Sc 0.000 0.000 0.500
Ga 0.333 0.667 0.299
Ga 0.667 0.333 0.701
Pd 0.333 0.667 0.703
Pd 0.667 0.333 0.297

Results
Energy of formation from the pure elements ... -0.859 eV per atom
Density ... 7.341 Mg/m³
Total DFT energy (no corrections) ... -5.48 eV/atom
Crystal system ... trigonal


This record from Alexandria describes a relaxed structure of LaScGaPd. The functional is PBE.

a = 5.035 Å, b = 5.035 Å, c = 5.035 Å
α = 60.00°, β = 60.00°, γ = 60.00°
Positions (direct):
La 0.000 0.000 0.000
Sc 0.500 0.500 0.500
Ga 0.750 0.750 0.750
Pd 0.250 0.250 0.250

Results
Energy of formation from the pure elements ... -0.601 eV per atom
Density ... 6.623 Mg/m³
Total DFT energy (no corrections) ... -5.47 eV/atom
Crystal system ... cubic